Material: KRb2AcI6
Method: DFT, PBE
State: relaxed

Properties
Crystal system: monoclinic
Total DFT energy (no corrections), eV per atom: -3.17
Density, g/cm³: 3.80
E_form (uncorrected), kcal/mol of atoms: -35.253
Total moment, μB/atom: 0.00

Cell lengths 8.815, 9.429, 12.600 Å; angles 90.00, 88.10, 90.00 degrees
Sites, in units of the cell vectors:
K 0.500 0.000 0.000
I 0.824 0.789 0.926
I 0.863 0.553 0.241
Ac 0.500 0.000 0.500
K 0.000 0.500 0.500
I 0.702 0.314 0.938
Rb 0.035 0.915 0.258
I 0.363 0.947 0.741
Ac 0.000 0.500 0.000
I 0.676 0.289 0.574
I 0.637 0.053 0.259
Rb 0.465 0.415 0.242
Rb 0.535 0.585 0.758
I 0.137 0.447 0.759
Rb 0.965 0.085 0.742
I 0.202 0.186 0.438
I 0.298 0.686 0.062
I 0.798 0.814 0.562
I 0.324 0.711 0.426
I 0.176 0.211 0.074